The following is a DFT calculation (GGA-PBE) of a relaxed structure of ScCr4Tc.

Properties
ΔE_f: 0.8 kcal/mol of atoms
Final energy: -9.1637 eV per atom
Total magnetization: 0.000 μB per formula unit

```
ScCr4Tc
1.0
0.0000 3.4429 3.4429
3.4429 0.0000 3.4429
3.4429 3.4429 0.0000
Sc Cr Tc
1 4 1
direct
0.7500 0.7500 0.7500
0.3745 0.3745 0.8765
0.8765 0.3745 0.3745
0.3745 0.8765 0.3745
0.3745 0.3745 0.3745
0.0000 0.0000 0.0000
```



The following is a DFT calculation (GGA-PBE) of a relaxed structure of Sm2ZrZn.

Properties
ΔE_f: -1.7 kcal/mol of atoms
E above lowest polymorph: 0.000 eV/atom
Final energy: -4.8888 eV per atom
Total magnetization: 0.000 μB per formula unit

```
Sm2ZrZn
1.0
-2.5975 1.4813 1.7448
1.5913 -0.7281 2.9871
4.1294 7.6391 -0.3379
Zr Zn Sm
1 1 2
direct
0.5000 0.5000 0.5000
0.5000 0.5000 0.0000
0.0000 0.0000 0.2288
0.0000 0.0000 0.7712
```



The following is a DFT calculation (GGA-PBE) of a relaxed structure of Pa3Mn2B9.

Properties
ΔE_f: -8.4 kcal/mol of atoms
Final energy: -8.0006 eV per atom
Total magnetization: 0.000 μB per formula unit

```
Pa3Mn2B9
1.0
-0.3200 3.0472 -0.1069
-1.9448 1.0771 -7.4349
-7.4868 0.6886 -1.9220
B Mn Pa
9 2 3
direct
0.0000 0.5000 0.5000
0.6321 0.6774 0.0585
0.3679 0.9415 0.3226
0.1224 0.1561 0.5992
0.8776 0.8439 0.4008
0.3679 0.3226 0.9415
0.8776 0.4008 0.8439
0.6321 0.0585 0.6774
0.1224 0.5992 0.1561
0.5000 0.3325 0.6675
0.5000 0.6675 0.3325
0.7338 0.2662 0.2662
0.2662 0.7338 0.7338
0.0000 0.0000 0.0000
```